An optimized crystal structure of SrZn3F, computed with PBE-GGA.

a = 6.320 Å, b = 6.320 Å, c = 6.320 Å
α = 90.00°, β = 90.00°, γ = 90.00°
Fractional coordinates of all 5 atoms:
Zn  0.000  0.000  0.500
Zn  0.000  0.500  0.000
Zn  0.500  0.000  0.000
Sr  0.000  0.000  0.000
F  0.500  0.500  0.500

Output
excess energy over the best structure of this formula in the dataset	0.726	eV/atom
volume	252	Å³ per cell


An optimized crystal structure of P2RuSeN, computed with PBE-GGA.

a = 5.086 Å, b = 3.051 Å, c = 10.067 Å
α = 90.00°, β = 96.96°, γ = 90.00°
Fractional coordinates of all 10 atoms:
Se  0.974  0.500  0.455
Se  0.974  0.000  0.955
P  0.013  0.000  0.729
P  0.538  0.000  0.630
P  0.538  0.500  0.130
P  0.013  0.500  0.229
Ru  0.484  0.500  0.465
Ru  0.484  0.000  0.965
N  0.353  0.000  0.756
N  0.353  0.500  0.256

Output
excess energy over the best structure of this formula in the dataset	0.170	eV/atom
volume	155	Å³ per cell


The records above yield E_tot values of -1.179, -6.276 eV per atom, respectively.
The records above yield formation energy (no corrections) values of 0.30, 0.11 eV/atom, respectively.